Record 1
# SrFe2P | Alexandria | PBE | optimized geometry
# * energy of formation: -134 meV/atom
# * DOS at the Fermi energy: 0.625 states/eV/atom
# * crystal system: monoclinic
# * M_tot: 3.86 μB per formula unit
data_SrFe2P
_chemical_formula_sum 'Sr1 Fe2 P1'
_cell_length_a 3.554
_cell_length_b 3.602
_cell_length_c 5.929
_cell_angle_alpha 90.00
_cell_angle_beta 90.34
_cell_angle_gamma 90.00
_symmetry_space_group_name_H-M 'P 1 m 1'
_symmetry_Int_Tables_number 6
loop_
_symmetry_equiv_pos_as_xyz
'x,y,z'
'x,-y,z'
loop_
_atom_site_label
_atom_site_type_symbol
_atom_site_fract_x
_atom_site_fract_y
_atom_site_fract_z
Sr1 Sr 0.000 0.000 0.000
Fe1 Fe 0.005 0.500 0.522
Fe2 Fe 0.505 0.000 0.519
P1 P 0.503 0.500 0.287

---

Record 2
# SrFeP | Alexandria | PBE | optimized geometry
# * energy of formation: -507 meV/atom
# * DOS at the Fermi energy: 1.491 states/eV/atom
# * crystal system: hexagonal
# * M_tot: 2.17 μB per formula unit
data_SrFeP
_chemical_formula_sum 'Sr1 Fe1 P1'
_cell_length_a 3.9787
_cell_length_b 3.9787
_cell_length_c 4.5780
_cell_angle_alpha 90.00
_cell_angle_beta 90.00
_cell_angle_gamma 120.00
_symmetry_space_group_name_H-M 'P -6 m 2'
_symmetry_Int_Tables_number 187
_symmetry_space_group_name_Hall 'P -6 2'
loop_
_atom_site_label
_atom_site_type_symbol
_atom_site_fract_x
_atom_site_fract_y
_atom_site_fract_z
Sr1 Sr 0.0000 0.0000 0.0000
Fe1 Fe 0.3333 0.6667 0.5000
P1 P 0.6667 0.3333 0.5000

---

Record 3
# SrFe2P2 | Alexandria | PBE | optimized geometry
# * energy of formation: -53 meV/atom
# * DOS at the Fermi energy: 0.651 states/eV/atom
# * crystal system: tetragonal
# * M_tot: 4.61 μB per formula unit
data_SrFe2P2
_chemical_formula_sum 'Sr2 Fe4 P4'
_cell_length_a 7.391
_cell_length_b 7.391
_cell_length_c 2.972
_cell_angle_alpha 90.00
_cell_angle_beta 90.00
_cell_angle_gamma 90.00
_symmetry_space_group_name_H-M 'P 4/m b m'
_symmetry_Int_Tables_number 127
_symmetry_space_group_name_Hall '-P 4 2ab'
loop_
_atom_site_label
_atom_site_type_symbol
_atom_site_fract_x
_atom_site_fract_y
_atom_site_fract_z
Sr1 Sr 0.000 0.000 0.000
Fe1 Fe 0.108 0.392 0.000
P1 P 0.152 0.652 0.500

---

Record 4
# SrFeP | Alexandria | PBE | optimized geometry
# * energy of formation: -10 meV/atom
# * DOS at the Fermi energy: 1.842 states/eV/atom
# * crystal system: cubic
# * M_tot: 3.01 μB per formula unit
data_SrFeP
_chemical_formula_sum 'Sr4 Fe4 P4'
_cell_length_a 6.528
_cell_length_b 6.528
_cell_length_c 6.528
_cell_angle_alpha 90.00
_cell_angle_beta 90.00
_cell_angle_gamma 90.00
_symmetry_space_group_name_H-M 'F -4 3 m'
_symmetry_Int_Tables_number 216
_symmetry_space_group_name_Hall 'F -4 2 3'
loop_
_atom_site_label
_atom_site_type_symbol
_atom_site_fract_x
_atom_site_fract_y
_atom_site_fract_z
Sr1 Sr 0.000 0.000 0.000
Fe1 Fe 0.000 0.000 0.500
P1 P 0.250 0.250 0.750

---

Record 5
# SrFe2P | Alexandria | PBE | optimized geometry
# * energy of formation: 514 meV/atom
# * DOS at the Fermi energy: 1.476 states/eV/atom
# * crystal system: tetragonal
# * M_tot: 5.55 μB per formula unit
data_SrFe2P
_chemical_formula_sum 'Sr1 Fe2 P1'
_cell_length_a 4.107
_cell_length_b 4.107
_cell_length_c 4.327
_cell_angle_alpha 90.00
_cell_angle_beta 90.00
_cell_angle_gamma 90.00
_symmetry_space_group_name_H-M 'P 4/m m m'
_symmetry_Int_Tables_number 123
_symmetry_space_group_name_Hall '-P 4 2'
loop_
_atom_site_label
_atom_site_type_symbol
_atom_site_fract_x
_atom_site_fract_y
_atom_site_fract_z
Sr1 Sr 0.000 0.000 0.000
Fe1 Fe 0.000 0.500 0.500
P1 P 0.500 0.500 0.000

---

Record 6
# SrFeP2 | Alexandria | PBE | optimized geometry
# * energy of formation: -180 meV/atom
# * DOS at the Fermi energy: 0.553 states/eV/atom
# * crystal system: tetragonal
# * M_tot: 1.91 μB per formula unit
data_SrFeP2
_chemical_formula_sum 'Sr1 Fe1 P2'
_cell_length_a 3.263
_cell_length_b 3.263
_cell_length_c 6.512
_cell_angle_alpha 90.00
_cell_angle_beta 90.00
_cell_angle_gamma 90.00
_symmetry_space_group_name_H-M 'P 4/m m m'
_symmetry_Int_Tables_number 123
_symmetry_space_group_name_Hall '-P 4 2'
loop_
_atom_site_label
_atom_site_type_symbol
_atom_site_fract_x
_atom_site_fract_y
_atom_site_fract_z
Sr1 Sr 0.000 0.000 0.000
Fe1 Fe 0.000 0.000 0.500
P1 P 0.500 0.500 0.328

---

Record 7
# SrFeP2 | Alexandria | PBE | optimized geometry
# * energy of formation: -257 meV/atom
# * DOS at the Fermi energy: 0.614 states/eV/atom
# * crystal system: orthorhombic
# * M_tot: 0.97 μB per formula unit
data_SrFeP2
_chemical_formula_sum 'Sr2 Fe2 P4'
_cell_length_a 3.380
_cell_length_b 3.511
_cell_length_c 12.490
_cell_angle_alpha 90.00
_cell_angle_beta 90.00
_cell_angle_gamma 90.00
_symmetry_space_group_name_H-M 'I m m 2'
_symmetry_Int_Tables_number 44
loop_
_symmetry_equiv_pos_as_xyz
'x,y,z'
'-x,-y,z'
'-x,y,z'
'x,-y,z'
'x+1/2,y+1/2,z+1/2'
'-x+1/2,-y+1/2,z+1/2'
'-x+1/2,y+1/2,z+1/2'
'x+1/2,-y+1/2,z+1/2'
loop_
_atom_site_label
_atom_site_type_symbol
_atom_site_fract_x
_atom_site_fract_y
_atom_site_fract_z
Sr1 Sr 0.000 0.000 0.000
Fe1 Fe 0.000 0.500 0.748
P1 P 0.000 0.000 0.641
P2 P 0.000 0.500 0.294

---

Record 8
# Sr2FeP | Alexandria | PBE | optimized geometry
# * energy of formation: 146 meV/atom
# * DOS at the Fermi energy: 1.142 states/eV/atom
# * crystal system: tetragonal
# * M_tot: 2.73 μB per formula unit
data_Sr2FeP
_chemical_formula_sum 'Sr4 Fe2 P2'
_cell_length_a 4.414
_cell_length_b 4.414
_cell_length_c 10.725
_cell_angle_alpha 90.00
_cell_angle_beta 90.00
_cell_angle_gamma 90.00
_symmetry_space_group_name_H-M 'I -4 m 2'
_symmetry_Int_Tables_number 119
_symmetry_space_group_name_Hall 'I -4 -2'
loop_
_atom_site_label
_atom_site_type_symbol
_atom_site_fract_x
_atom_site_fract_y
_atom_site_fract_z
Sr1 Sr 0.000 0.000 0.000
Sr2 Sr 0.000 0.500 0.250
Fe1 Fe 0.000 0.500 0.750
P1 P 0.000 0.000 0.500

---

Record 9
# SrFeP2 | Alexandria | PBE | optimized geometry
# * energy of formation: 194 meV/atom
# * DOS at the Fermi energy: 0.933 states/eV/atom
# * crystal system: orthorhombic
# * M_tot: 3.31 μB per formula unit
data_SrFeP2
_chemical_formula_sum 'Sr1 Fe1 P2'
_cell_length_a 3.880
_cell_length_b 4.449
_cell_length_c 4.486
_cell_angle_alpha 90.00
_cell_angle_beta 90.00
_cell_angle_gamma 90.00
_symmetry_space_group_name_H-M 'P m m m'
_symmetry_Int_Tables_number 47
loop_
_symmetry_equiv_pos_as_xyz
'x,y,z'
'-x,-y,-z'
'-x,-y,z'
'x,y,-z'
'x,-y,-z'
'-x,y,z'
'-x,y,-z'
'x,-y,z'
loop_
_atom_site_label
_atom_site_type_symbol
_atom_site_fract_x
_atom_site_fract_y
_atom_site_fract_z
Sr1 Sr 0.000 0.000 0.000
Fe1 Fe 0.000 0.500 0.500
P1 P 0.500 0.000 0.500
P2 P 0.500 0.500 0.000

---

Record 10
# Sr2FeP | Alexandria | PBE | optimized geometry
# * energy of formation: 56 meV/atom
# * DOS at the Fermi energy: 0.419 states/eV/atom
# * crystal system: monoclinic
# * M_tot: 3.02 μB per formula unit
data_Sr2FeP
_chemical_formula_sum 'Sr4 Fe2 P2'
_cell_length_a 7.804
_cell_length_b 4.425
_cell_length_c 8.096
_cell_angle_alpha 90.00
_cell_angle_beta 108.13
_cell_angle_gamma 90.00
_symmetry_space_group_name_H-M 'C 1 2/m 1'
_symmetry_Int_Tables_number 12
loop_
_symmetry_equiv_pos_as_xyz
'x,y,z'
'-x,-y,-z'
'-x,y,-z'
'x,-y,z'
'x+1/2,y+1/2,z'
'-x+1/2,-y+1/2,-z'
'-x+1/2,y+1/2,-z'
'x+1/2,-y+1/2,z'
loop_
_atom_site_label
_atom_site_type_symbol
_atom_site_fract_x
_atom_site_fract_y
_atom_site_fract_z
Sr1 Sr 0.234 0.000 0.202
Fe1 Fe 0.000 0.000 0.500
P1 P 0.000 0.500 0.000

---

Record 11
# SrFeP2 | Alexandria | PBE | optimized geometry
# * energy of formation: -598 meV/atom
# * DOS at the Fermi energy: 0.493 states/eV/atom
# * crystal system: trigonal
# * M_tot: 0.00 μB per formula unit
data_SrFeP2
_chemical_formula_sum 'Sr3 Fe3 P6'
_cell_length_a 3.8899
_cell_length_b 3.8899
_cell_length_c 16.0634
_cell_angle_alpha 90.00
_cell_angle_beta 90.00
_cell_angle_gamma 120.00
_symmetry_space_group_name_H-M 'R -3 m'
_symmetry_Int_Tables_number 166
_symmetry_space_group_name_Hall '-R 3 2"'
loop_
_atom_site_label
_atom_site_type_symbol
_atom_site_fract_x
_atom_site_fract_y
_atom_site_fract_z
Sr1 Sr 0.0000 0.0000 0.0000
Fe1 Fe 0.0000 0.0000 0.5000
P1 P 0.0000 0.0000 0.2054

---

Record 12
# SrFeP2 | Alexandria | PBE | optimized geometry
# * energy of formation: -535 meV/atom
# * DOS at the Fermi energy: 0.402 states/eV/atom
# * crystal system: monoclinic
# * M_tot: 0.00 μB per formula unit
data_SrFeP2
_chemical_formula_sum 'Sr2 Fe2 P4'
_cell_length_a 6.333
_cell_length_b 3.950
_cell_length_c 6.146
_cell_angle_alpha 90.00
_cell_angle_beta 108.73
_cell_angle_gamma 90.00
_symmetry_space_group_name_H-M 'C 1 m 1'
_symmetry_Int_Tables_number 8
loop_
_symmetry_equiv_pos_as_xyz
'x,y,z'
'x,-y,z'
'x+1/2,y+1/2,z'
'x+1/2,-y+1/2,z'
loop_
_atom_site_label
_atom_site_type_symbol
_atom_site_fract_x
_atom_site_fract_y
_atom_site_fract_z
Sr1 Sr 0.000 0.000 0.000
Fe1 Fe 0.324 0.500 0.446
P1 P 0.233 0.000 0.625
P2 P 0.455 0.000 0.369

---

Record 13
# Sr2FeP | Alexandria | PBE | optimized geometry
# * energy of formation: 260 meV/atom
# * DOS at the Fermi energy: 0.769 states/eV/atom
# * crystal system: tetragonal
# * M_tot: 2.98 μB per formula unit
data_Sr2FeP
_chemical_formula_sum 'Sr8 Fe4 P4'
_cell_length_a 8.232
_cell_length_b 8.232
_cell_length_c 7.356
_cell_angle_alpha 90.00
_cell_angle_beta 90.00
_cell_angle_gamma 90.00
_symmetry_space_group_name_H-M 'I -4 2 d'
_symmetry_Int_Tables_number 122
_symmetry_space_group_name_Hall 'I -4 2bw'
loop_
_atom_site_label
_atom_site_type_symbol
_atom_site_fract_x
_atom_site_fract_y
_atom_site_fract_z
Sr1 Sr 0.223 0.250 0.125
Fe1 Fe 0.000 0.000 0.500
P1 P 0.000 0.000 0.000

---

Record 14
# Sr2FeP | Alexandria | PBE | optimized geometry
# * energy of formation: 14 meV/atom
# * DOS at the Fermi energy: 1.031 states/eV/atom
# * crystal system: monoclinic
# * M_tot: 3.08 μB per formula unit
data_Sr2FeP
_chemical_formula_sum 'Sr4 Fe2 P2'
_cell_length_a 7.208
_cell_length_b 7.202
_cell_length_c 4.038
_cell_angle_alpha 90.00
_cell_angle_beta 90.40
_cell_angle_gamma 90.00
_symmetry_space_group_name_H-M 'C 1 2/m 1'
_symmetry_Int_Tables_number 12
loop_
_symmetry_equiv_pos_as_xyz
'x,y,z'
'-x,-y,-z'
'-x,y,-z'
'x,-y,z'
'x+1/2,y+1/2,z'
'-x+1/2,-y+1/2,-z'
'-x+1/2,y+1/2,-z'
'x+1/2,-y+1/2,z'
loop_
_atom_site_label
_atom_site_type_symbol
_atom_site_fract_x
_atom_site_fract_y
_atom_site_fract_z
Sr1 Sr 0.250 0.250 0.000
Fe1 Fe 0.000 0.000 0.500
P1 P 0.000 0.500 0.500